(1)
Here is an optimized crystal structure of AlTlCd2 from Alexandria. Energies are from PBEsol.

Unit cell a=3.1371 b=3.1371 c=8.9413 alpha=90.00 beta=90.00 gamma=90.00
Atoms (fractional coordinates):
Al: 0.0000 0.0000 0.0000
Tl: 0.5000 0.5000 0.7378
Cd: 0.0000 0.0000 0.4606
Cd: 0.5000 0.5000 0.2214

D(E_F): 1.63 states/eV/f.u.
SG: P4mm (99)
excess energy over the best structure of this formula in the dataset: 13 meV per atom

=====

(2)
Here is an optimized crystal structure of AlTlCd2 from Alexandria. Energies are from PBEsol.

Unit cell a=3.0632 b=4.2277 c=6.8039 alpha=90.00 beta=90.00 gamma=90.00
Atoms (fractional coordinates):
Al: 0.0000 0.0000 0.0000
Tl: 0.5000 0.5000 0.7332
Cd: 0.0000 0.0000 0.4512
Cd: 0.5000 0.5000 0.2139

D(E_F): 1.69 states/eV/f.u.
SG: Pmm2 (25)
excess energy over the best structure of this formula in the dataset: 28 meV per atom

=====

(3)
Here is an optimized crystal structure of AlTlCd2 from Alexandria. Energies are from PBEsol.

Unit cell a=3.0611 b=5.2761 c=5.5338 alpha=90.00 beta=90.00 gamma=90.00
Atoms (fractional coordinates):
Al: 0.0000 0.0000 0.0000
Tl: 0.5000 0.5000 0.0000
Cd: 0.0000 0.5000 0.5000
Cd: 0.5000 0.0000 0.5000

D(E_F): 1.47 states/eV/f.u.
SG: Pmmm (47)
excess energy over the best structure of this formula in the dataset: 60 meV per atom

=====

(4)
Here is an optimized crystal structure of AlTlCd2 from Alexandria. Energies are from PBEsol.

Unit cell a=6.3221 b=6.3221 c=6.3221 alpha=152.00 beta=130.83 gamma=57.54
Atoms (fractional coordinates):
Al: 0.0000 0.0000 0.0000
Tl: 0.5000 0.5000 0.0000
Cd: 0.2266 0.7266 0.5000
Cd: 0.7734 0.2734 0.5000

D(E_F): 1.54 states/eV/f.u.
SG: Immm (71)
excess energy over the best structure of this formula in the dataset: 31 meV per atom

=====

(5)
Here is an optimized crystal structure of Al2TlCd from Alexandria. Energies are from PBEsol.

Unit cell a=6.0691 b=6.0691 c=3.2010 alpha=104.87 beta=104.87 gamma=121.63
Atoms (fractional coordinates):
Al: 0.0000 0.5000 0.0000
Al: 0.5000 0.0000 0.0000
Tl: 0.0000 0.0000 0.5000
Cd: 0.5000 0.5000 0.5000

D(E_F): 1.96 states/eV/f.u.
SG: C2/m (12)

=====

(6)
Here is an optimized crystal structure of AlTlCd2 from Alexandria. Energies are from PBEsol.

Unit cell a=3.1904 b=3.1904 c=8.5726 alpha=90.00 beta=90.00 gamma=90.00
Atoms (fractional coordinates):
Al: 0.0000 0.0000 0.0000
Tl: 0.0000 0.0000 0.5000
Cd: 0.5000 0.5000 0.2208
Cd: 0.5000 0.5000 0.7792

D(E_F): 1.64 states/eV/f.u.
SG: P4/mmm (123)
excess energy over the best structure of this formula in the dataset: 0 meV per atom

=====

(7)
Here is an optimized crystal structure of Al2TlCd from Alexandria. Energies are from PBEsol.

Unit cell a=6.2332 b=6.2332 c=6.2332 alpha=151.48 beta=131.91 gamma=56.87
Atoms (fractional coordinates):
Al: 0.0000 0.0000 0.0000
Al: 0.7894 0.2894 0.5000
Tl: 0.5269 0.5269 0.0000
Cd: 0.2396 0.7396 0.5000

D(E_F): 1.73 states/eV/f.u.
SG: Imm2 (44)

=====

(8)
Here is an optimized crystal structure of AlCd2W from Alexandria. Energies are from PBEsol.

Unit cell a=5.2109 b=5.2109 c=5.2109 alpha=135.10 beta=135.10 gamma=65.37
Atoms (fractional coordinates):
Al: 0.0000 0.0000 0.0000
Cd: 0.5000 0.5000 0.0000
Cd: 0.7500 0.2500 0.5000
W: 0.2500 0.7500 0.5000

D(E_F): 4.00 states/eV/f.u.
SG: I-4m2 (119)

=====

no.,formation energy from the elements (eV per atom)
1,0.14
2,0.15
3,0.18
4,0.15
5,0.26
6,0.12
7,0.22
8,0.50